Co2Ir3Os | Alexandria via LeMat-Bulk | PBE-GGA | relaxed; energy relative to the elements = 0.05 eV/atom; raw total energy = -8.62 eV/atom
1.0
2.325 -4.029 0.000
2.325 4.029 0.000
-1.562 0.000 8.619
Co Ir Os
4 6 2
direct
0.000 0.000 0.000
0.169 0.831 0.500
0.500 0.500 0.500
0.831 0.169 0.500
0.085 0.417 0.255
0.246 0.246 0.744
0.417 0.085 0.255
0.583 0.915 0.745
0.754 0.754 0.256
0.915 0.583 0.745
0.334 0.666 0.000
0.666 0.334 0.000

---

CoIr12Os6 | Alexandria via LeMat-Bulk | PBE-GGA | relaxed; energy relative to the elements = 0.24 eV/atom; raw total energy = -9.28 eV/atom
1.0
4.643 2.681 3.749
-4.643 2.681 3.749
0.000 -5.361 3.749
Co Ir Os
1 12 6
direct
0.000 0.000 0.000
0.039 0.152 0.367
0.152 0.367 0.039
0.199 0.482 0.559
0.367 0.039 0.152
0.441 0.801 0.518
0.482 0.559 0.199
0.518 0.441 0.801
0.559 0.199 0.482
0.633 0.961 0.848
0.801 0.518 0.441
0.848 0.633 0.961
0.961 0.848 0.633
0.107 0.726 0.262
0.262 0.107 0.726
0.274 0.738 0.893
0.726 0.262 0.107
0.738 0.893 0.274
0.893 0.274 0.738